No. 1
Material: Nb4MoH10
Method: DFT, PBE-GGA
State: optimized geometry

Cell: 5.545 5.545 5.545 Å, 99.60 99.60 131.80°
Fractional coordinates of all 15 atoms:
Nb 0.102 0.701 0.803
Nb 0.299 0.102 0.401
Nb 0.701 0.898 0.599
Nb 0.898 0.299 0.197
Mo 0.500 0.500 0.000
H 0.058 0.349 0.901
H 0.157 0.058 0.708
H 0.250 0.750 0.500
H 0.349 0.449 0.292
H 0.449 0.157 0.099
H 0.551 0.843 0.901
H 0.651 0.551 0.708
H 0.750 0.250 0.500
H 0.843 0.942 0.292
H 0.942 0.651 0.099

Calculated values
Magnetic moment: 0.0 Bohr magnetons per cell

---

No. 2
Material: TbThNiHg
Method: DFT, PBE-GGA
State: optimized geometry

Cell: 7.290 7.290 7.290 Å, 90.00 90.00 90.00°
Fractional coordinates of all 16 atoms:
Tb 0.000 0.000 0.000
Tb 0.000 0.500 0.500
Tb 0.500 0.000 0.500
Tb 0.500 0.500 0.000
Th 0.000 0.000 0.500
Th 0.000 0.500 0.000
Th 0.500 0.000 0.000
Th 0.500 0.500 0.500
Ni 0.250 0.250 0.750
Ni 0.250 0.750 0.250
Ni 0.750 0.250 0.250
Ni 0.750 0.750 0.750
Hg 0.250 0.250 0.250
Hg 0.250 0.750 0.750
Hg 0.750 0.250 0.750
Hg 0.750 0.750 0.250

Calculated values
Magnetic moment: 0.0 Bohr magnetons per cell
Energy of formation: -0.217 eV/atom

---

No. 3
Material: Ti2CdRh2
Method: DFT, PBE-GGA
State: optimized geometry

Cell: 4.151 4.151 10.648 Å, 90.00 90.00 90.00°
Fractional coordinates of all 10 atoms:
Ti 0.000 0.500 0.250
Ti 0.000 0.500 0.750
Ti 0.500 0.000 0.250
Ti 0.500 0.000 0.750
Cd 0.000 0.000 0.000
Cd 0.500 0.500 0.500
Rh 0.000 0.000 0.381
Rh 0.000 0.000 0.619
Rh 0.500 0.500 0.119
Rh 0.500 0.500 0.881

Calculated values
Magnetic moment: 0.0 Bohr magnetons per cell
Energy of formation: -0.395 eV/atom

---

No. 4
Material: Cu3RuBr2F6
Method: DFT, PBE-GGA
State: optimized geometry

Cell: 7.304 7.304 4.937 Å, 93.13 93.13 48.87°
Fractional coordinates of all 12 atoms:
Cu 0.000 0.000 0.000
Cu 0.000 0.500 0.500
Cu 0.500 0.000 0.500
Ru 0.500 0.500 0.500
Br 0.189 0.189 0.168
Br 0.811 0.811 0.832
F 0.215 0.685 0.253
F 0.315 0.785 0.747
F 0.365 0.365 0.648
F 0.635 0.635 0.352
F 0.685 0.215 0.253
F 0.785 0.315 0.747

Calculated values
Magnetic moment: 3.1 Bohr magnetons per cell
Raw formation energy: -112.83 kJ per mole of atoms

---

No. 5
Material: CrFe2HAu
Method: DFT, PBE-GGA
State: optimized geometry

Cell: 3.774 3.774 3.975 Å, 90.00 90.00 90.00°
Fractional coordinates of all 5 atoms:
Cr 0.000 0.000 0.000
Fe 0.000 0.500 0.500
Fe 0.500 0.000 0.500
H 0.000 0.000 0.500
Au 0.500 0.500 0.000

Calculated values
Magnetic moment: 7.4 Bohr magnetons per cell

---

No. 6
Material: Tl3PRu
Method: DFT, PBE-GGA
State: optimized geometry

Cell: 5.270 5.270 5.270 Å, 90.00 90.00 90.00°
Fractional coordinates of all 5 atoms:
Tl 0.000 0.000 0.500
Tl 0.000 0.500 0.000
Tl 0.500 0.000 0.000
P 0.500 0.500 0.500
Ru 0.000 0.000 0.000

Calculated values
Magnetic moment: 2.0 Bohr magnetons per cell
Energy of formation: 0.703 eV/atom
Distance to the lowest polymorph of the same formula: 0.0 meV per atom

---

No. 7
Material: Mg3Mn
Method: DFT, PBE-GGA
State: optimized geometry

Cell: 4.783 4.783 13.752 Å, 90.00 90.00 90.00°
Fractional coordinates of all 16 atoms:
Mg 0.000 0.000 0.129
Mg 0.000 0.000 0.871
Mg 0.000 0.500 0.000
Mg 0.000 0.500 0.250
Mg 0.000 0.500 0.500
Mg 0.000 0.500 0.750
Mg 0.500 0.000 0.000
Mg 0.500 0.000 0.250
Mg 0.500 0.000 0.500
Mg 0.500 0.000 0.750
Mg 0.500 0.500 0.371
Mg 0.500 0.500 0.629
Mn 0.000 0.000 0.378
Mn 0.000 0.000 0.622
Mn 0.500 0.500 0.122
Mn 0.500 0.500 0.878

Calculated values
Magnetic moment: 14.6 Bohr magnetons per cell
Energy of formation: 0.180 eV/atom

---

No. 8
Material: Cs3In2Br4
Method: DFT, PBE-GGA
State: optimized geometry

Cell: 10.837 10.837 7.614 Å, 94.88 94.88 94.71°
Fractional coordinates of all 18 atoms:
Cs 0.039 0.961 0.750
Cs 0.245 0.497 0.477
Cs 0.497 0.245 0.977
Cs 0.503 0.755 0.023
Cs 0.755 0.503 0.523
Cs 0.961 0.039 0.250
In 0.035 0.360 0.992
In 0.360 0.035 0.492
In 0.640 0.965 0.508
In 0.965 0.640 0.008
Br 0.007 0.718 0.392
Br 0.282 0.993 0.108
Br 0.284 0.483 0.969
Br 0.483 0.284 0.469
Br 0.517 0.716 0.531
Br 0.716 0.517 0.031
Br 0.718 0.007 0.892
Br 0.993 0.282 0.608

Calculated values
Magnetic moment: 2.0 Bohr magnetons per cell
Raw formation energy: -112.29 kJ per mole of atoms

---

No. 9
Material: AcCdGe2
Method: DFT, PBE-GGA
State: optimized geometry

Cell: 4.711 4.711 16.055 Å, 90.00 90.00 120.00°
Fractional coordinates of all 12 atoms:
Ac 0.000 0.000 0.000
Ac 0.333 0.667 0.667
Ac 0.667 0.333 0.333
Cd 0.000 0.000 0.500
Cd 0.333 0.667 0.167
Cd 0.667 0.333 0.833
Ge 0.000 0.000 0.218
Ge 0.000 0.000 0.782
Ge 0.333 0.667 0.449
Ge 0.333 0.667 0.885
Ge 0.667 0.333 0.115
Ge 0.667 0.333 0.551

Calculated values
Magnetic moment: 0.0 Bohr magnetons per cell
Energy of formation: -0.307 eV/atom
Distance to the lowest polymorph of the same formula: 110.7 meV per atom

---

No. 10
Material: Zr5Al2Si
Method: DFT, PBE-GGA
State: optimized geometry

Cell: 4.317 4.317 16.892 Å, 90.00 90.00 90.00°
Fractional coordinates of all 16 atoms:
Zr 0.000 0.000 0.000
Zr 0.000 0.500 0.127
Zr 0.000 0.500 0.373
Zr 0.000 0.500 0.627
Zr 0.000 0.500 0.873
Zr 0.500 0.000 0.127
Zr 0.500 0.000 0.373
Zr 0.500 0.000 0.627
Zr 0.500 0.000 0.873
Zr 0.500 0.500 0.500
Al 0.000 0.000 0.249
Al 0.000 0.000 0.751
Al 0.500 0.500 0.251
Al 0.500 0.500 0.749
Si 0.000 0.000 0.500
Si 0.500 0.500 0.000

Calculated values
Magnetic moment: 0.0 Bohr magnetons per cell
Raw formation energy: -39.64 kJ per mole of atoms
Distance to the lowest polymorph of the same formula: 0.0 meV per atom

---

No. 11
Material: LaNi2H7
Method: DFT, PBE-GGA
State: optimized geometry

Cell: 4.988 4.988 3.716 Å, 90.00 90.00 122.94°
Fractional coordinates of all 10 atoms:
La 0.000 0.000 0.000
Ni 0.313 0.687 0.500
Ni 0.687 0.313 0.500
H 0.027 0.321 0.500
H 0.321 0.027 0.500
H 0.325 0.675 0.000
H 0.500 0.500 0.500
H 0.675 0.325 0.000
H 0.679 0.973 0.500
H 0.973 0.679 0.500

Calculated values
Magnetic moment: 0.0 Bohr magnetons per cell

---

D(E_F) (computed, states/eV per atom): 0.39 0.98 0.48 0.56 1.26 1.30 0.53 0.04 0.58 0.74 0.20
Total DFT energy (no corrections) (computed, eV/atom): -5.839 -4.750 -6.676 -4.181 -6.419 -3.654 -3.309 -2.800 -3.871 -7.367 -4.230